# 1
DFT (PBE) results for RbCdRe2O8 after structural relaxation.

Unit cell a=5.701 b=5.701 c=8.422 alpha=86.63 beta=86.63 gamma=66.29
Fractional coordinates of all 12 atoms:
Rb 0.000 0.000 0.500
Cd 0.000 0.000 0.000
Re 0.628 0.628 0.215
Re 0.372 0.372 0.785
O 0.712 0.242 0.798
O 0.758 0.758 0.054
O 0.710 0.710 0.395
O 0.290 0.290 0.605
O 0.242 0.242 0.946
O 0.242 0.712 0.798
O 0.758 0.288 0.202
O 0.288 0.758 0.202

Calculated values
size of the total moment	0.00	μB/cell
formation energy from raw total energies	-19.12	eV/f.u.
N(E_F)	4.19	states/eV/cell

***

# 2
DFT (PBE) results for Rb3CdRe2O8 after structural relaxation.

Unit cell a=6.340 b=6.340 c=10.008 alpha=90.00 beta=90.00 gamma=120.00
Fractional coordinates of all 14 atoms:
Rb 0.333 0.667 0.708
Rb 0.667 0.333 0.292
Rb 0.000 0.000 0.000
Cd 0.000 0.000 0.500
Re 0.333 0.667 0.163
Re 0.667 0.333 0.837
O 0.333 0.667 0.985
O 0.667 0.333 0.015
O 0.181 0.819 0.224
O 0.819 0.181 0.776
O 0.181 0.363 0.224
O 0.819 0.637 0.776
O 0.637 0.819 0.224
O 0.363 0.181 0.776

Calculated values
size of the total moment	1.08	μB/cell
formation energy from raw total energies	-22.32	eV/f.u.
N(E_F)	7.96	states/eV/cell

***

# 3
DFT (PBE) results for Rb2CdReO6 after structural relaxation.

Unit cell a=5.790 b=6.402 c=6.402 alpha=120.00 beta=90.00 gamma=90.00
Fractional coordinates of all 10 atoms:
Rb 0.160 0.333 0.667
Rb 0.840 0.667 0.333
Cd 0.500 0.000 0.000
Re 0.000 0.000 0.000
O 0.805 0.139 0.277
O 0.805 0.139 0.861
O 0.805 0.723 0.861
O 0.195 0.861 0.139
O 0.195 0.277 0.139
O 0.195 0.861 0.723

Calculated values
size of the total moment	1.06	μB/cell
formation energy from raw total energies	-12.91	eV/f.u.
N(E_F)	7.30	states/eV/cell

***

# 4
DFT (PBE) results for Rb2CdRhO4 after structural relaxation.

Unit cell a=5.826 b=5.826 c=5.826 alpha=101.78 beta=113.45 gamma=113.45
Fractional coordinates of all 8 atoms:
Rb 0.500 0.750 0.250
Rb 0.000 0.000 0.000
Cd 0.500 0.250 0.750
Rh 0.000 0.500 0.500
O 0.602 0.303 0.425
O 0.122 0.299 0.697
O 0.878 0.575 0.177
O 0.398 0.823 0.701

Calculated values
size of the total moment	2.96	μB/cell
formation energy from raw total energies	-7.70	eV/f.u.
N(E_F)	3.75	states/eV/cell

***

# 5
DFT (PBE) results for Rb3Cd2RhO6 after structural relaxation.

Unit cell a=5.956 b=5.956 c=6.572 alpha=98.60 beta=98.60 gamma=120.02
Fractional coordinates of all 12 atoms:
Rb 0.171 0.829 0.500
Rb 0.829 0.171 0.500
Rb 0.500 0.500 0.500
Cd 0.334 0.666 0.000
Cd 0.666 0.334 0.000
Rh 0.000 0.000 0.000
O 0.941 0.653 0.827
O 0.772 0.772 0.178
O 0.059 0.347 0.173
O 0.653 0.941 0.827
O 0.228 0.228 0.822
O 0.347 0.059 0.173

Calculated values
size of the total moment	2.07	μB/cell
formation energy from raw total energies	-12.16	eV/f.u.
N(E_F)	3.24	states/eV/cell

***

# 6
DFT (PBE) results for Rb3Cd2RuO6 after structural relaxation.

Unit cell a=5.949 b=5.949 c=6.608 alpha=98.50 beta=98.50 gamma=120.09
Fractional coordinates of all 12 atoms:
Rb 0.172 0.828 0.500
Rb 0.828 0.172 0.500
Rb 0.500 0.500 0.500
Cd 0.334 0.666 0.000
Cd 0.666 0.334 0.000
Ru 0.000 0.000 0.000
O 0.941 0.655 0.827
O 0.775 0.775 0.179
O 0.059 0.345 0.173
O 0.655 0.941 0.827
O 0.225 0.225 0.821
O 0.345 0.059 0.173

Calculated values
size of the total moment	3.00	μB/cell
formation energy from raw total energies	-13.28	eV/f.u.
N(E_F)	2.58	states/eV/cell

***

# 7
DFT (PBE) results for Rb3CdRu2O8 after structural relaxation.

Unit cell a=6.104 b=6.104 c=8.076 alpha=90.00 beta=90.00 gamma=120.00
Fractional coordinates of all 14 atoms:
Rb 0.333 0.667 0.666
Rb 0.667 0.333 0.334
Rb 0.000 0.000 0.000
Cd 0.000 0.000 0.500
Ru 0.333 0.667 0.229
Ru 0.667 0.333 0.771
O 0.333 0.667 0.010
O 0.667 0.333 0.990
O 0.172 0.828 0.317
O 0.828 0.172 0.683
O 0.172 0.345 0.317
O 0.828 0.655 0.683
O 0.655 0.828 0.317
O 0.345 0.172 0.683

Calculated values
size of the total moment	3.04	μB/cell
formation energy from raw total energies	-15.89	eV/f.u.
N(E_F)	6.98	states/eV/cell

***

# 8
DFT (PBE) results for Rb2CdRuO4 after structural relaxation.

Unit cell a=5.902 b=5.902 c=5.902 alpha=99.27 beta=114.80 gamma=114.80
Fractional coordinates of all 8 atoms:
Rb 0.500 0.750 0.250
Rb 0.000 0.000 0.000
Cd 0.500 0.250 0.750
Ru 0.000 0.500 0.500
O 0.627 0.379 0.459
O 0.081 0.249 0.621
O 0.919 0.541 0.168
O 0.373 0.832 0.751

Calculated values
size of the total moment	0.00	μB/cell
formation energy from raw total energies	-8.28	eV/f.u.
N(E_F)	2.16	states/eV/cell